No. 1
! PBE CaAl2Mo, relaxed; values from VASP
! DOS at the Fermi energy = 3.758 states/eV/f.u.
! space-group type = R-3m, No. 166
! energy above the lowest structure with this stoichiometry = 0.298 eV/atom
! magnetization = 0.112 μB/atom
&SYSTEM
  ibrav = 0, nat = 4, ntyp = 3
/
ATOMIC_SPECIES
Mo 95.94 Mo.upf
Ca 40.08 Ca.upf
Al 26.98 Al.upf
CELL_PARAMETERS angstrom
-4.782 0.086 8.173
-2.939 -2.404 8.675
-1.870 0.486 9.270
ATOMIC_POSITIONS crystal
Mo 0.750 0.750 0.750
Ca 0.250 0.250 0.250
Al 0.011 0.011 0.011
Al 0.489 0.489 0.489


No. 2
! PBE CaAlMo, relaxed; values from VASP
! DOS at the Fermi energy = 2.756 states/eV/f.u.
! space-group type = Imm2, No. 44
! energy above the lowest structure with this stoichiometry = 0.011 eV/atom
! magnetization = 0.000 μB/atom
&SYSTEM
  ibrav = 0, nat = 3, ntyp = 3
/
ATOMIC_SPECIES
Mo 95.94 Mo.upf
Ca 40.08 Ca.upf
Al 26.98 Al.upf
CELL_PARAMETERS angstrom
-0.711 -5.756 -0.969
-0.918 -4.424 3.763
-1.500 5.235 -2.218
ATOMIC_POSITIONS crystal
Mo 0.632 0.632 0.000
Ca 0.331 0.331 0.000
Al 0.037 0.037 0.000


No. 3
! PBE CaAlMo, relaxed; values from VASP
! DOS at the Fermi energy = 2.529 states/eV/f.u.
! space-group type = P3m1, No. 156
! energy above the lowest structure with this stoichiometry = 0.159 eV/atom
! magnetization = 0.000 μB/atom
&SYSTEM
  ibrav = 0, nat = 3, ntyp = 3
/
ATOMIC_SPECIES
Mo 95.94 Mo.upf
Ca 40.08 Ca.upf
Al 26.98 Al.upf
CELL_PARAMETERS angstrom
-1.530 4.245 -1.716
-2.970 -3.805 0.026
-0.920 0.737 2.644
ATOMIC_POSITIONS crystal
Mo 0.667 0.333 0.731
Ca 0.333 0.667 0.354
Al 0.000 0.000 0.915


No. 4
! PBE CaAl2Mo, relaxed; values from VASP
! DOS at the Fermi energy = 2.091 states/eV/f.u.
! space-group type = Fm-3m, No. 225
! energy above the lowest structure with this stoichiometry = 0.273 eV/atom
! magnetization = 0.492 μB/atom
&SYSTEM
  ibrav = 0, nat = 4, ntyp = 3
/
ATOMIC_SPECIES
Mo 95.94 Mo.upf
Ca 40.08 Ca.upf
Al 26.98 Al.upf
CELL_PARAMETERS angstrom
0.000 3.346 3.346
3.346 0.000 3.346
3.346 3.346 0.000
ATOMIC_POSITIONS crystal
Mo 0.500 0.500 0.500
Ca 0.000 0.000 0.000
Al 0.250 0.250 0.250
Al 0.750 0.750 0.750


No. 5
! PBE CaAl2Mo, relaxed; values from VASP
! DOS at the Fermi energy = 3.694 states/eV/f.u.
! space-group type = P4/mmm, No. 123
! energy above the lowest structure with this stoichiometry = 0.354 eV/atom
! magnetization = 0.000 μB/atom
&SYSTEM
  ibrav = 0, nat = 4, ntyp = 3
/
ATOMIC_SPECIES
Mo 95.94 Mo.upf
Ca 40.08 Ca.upf
Al 26.98 Al.upf
CELL_PARAMETERS angstrom
-4.490 -0.139 0.374
0.354 -3.343 3.003
0.150 2.456 2.717
ATOMIC_POSITIONS crystal
Mo 0.000 0.500 0.500
Ca 0.500 0.000 0.500
Al 0.000 0.000 0.000
Al 0.500 0.500 0.000


No. 6
! PBE CaAl4Mo, relaxed; values from VASP
! VASP energy = -0.17475 hartree per atom
! DOS at the Fermi energy = 0.771 states/eV/f.u.
! space-group type = F-43m, No. 216
! magnetization = 0.000 μB/atom
&SYSTEM
  ibrav = 0, nat = 6, ntyp = 3
/
ATOMIC_SPECIES
Ca 40.08 Ca.upf
Al 26.98 Al.upf
Mo 95.94 Mo.upf
CELL_PARAMETERS angstrom
-0.318 -5.248 0.590
-4.726 -2.324 0.501
-1.905 -2.992 -3.925
ATOMIC_POSITIONS crystal
Ca 0.750 0.750 0.750
Al 0.375 0.876 0.375
Al 0.876 0.375 0.375
Al 0.375 0.375 0.876
Al 0.375 0.375 0.375
Mo 0.000 0.000 0.000